No. 1
A geometry-optimized Tl2SbH2 structure. Source: the Alexandria database, functional PBE.

a b c (Å): 7.679 7.679 7.679
angles (deg): 152.21 152.21 39.71
Atoms (fractional coordinates):
Tl 0.155 0.155 0.000
Tl 0.845 0.845 0.000
Sb 0.500 0.500 0.000
H 0.250 0.750 0.500
H 0.750 0.250 0.500

Summary:
SG = I4/mmm, No. 139
Total magnetic moment = 0.000 μB/atom
Relative energy among the computed polymorphs = 0.328 eV/atom

No. 2
A geometry-optimized AcSb2I structure. Source: the Alexandria database, functional PBE.

a b c (Å): 4.615 4.615 6.086
angles (deg): 90.00 90.00 90.00
Atoms (fractional coordinates):
Ac 0.000 0.000 0.000
Sb 0.000 0.500 0.500
Sb 0.500 0.000 0.500
I 0.500 0.500 0.000

Summary:
SG = P4/mmm, No. 123
Total magnetic moment = 0.000 μB/atom
Formation energy from raw total energies = -2.59 eV/f.u.

What did the second record say?
A geometry-optimized AcSb2I structure. Source: the Alexandria database, functional PBE.

a b c (Å): 4.615 4.615 6.086
angles (deg): 90.00 90.00 90.00
Atoms (fractional coordinates):
Ac 0.000 0.000 0.000
Sb 0.000 0.500 0.500
Sb 0.500 0.000 0.500
I 0.500 0.500 0.000

Summary:
SG = P4/mmm, No. 123
Total magnetic moment = 0.000 μB/atom
Formation energy from raw total energies = -2.59 eV/f.u.